# TmMg2Cd | Alexandria via LeMat-Bulk | GGA-PBE | optimized geometry
# * energy relative to the lowest polymorph listed for this composition: 72 meV/atom
# * energy of formation: -95 meV per atom
# * V: 96 Å³/f.u.
# * magnetic moment: 0.0 μB per formula unit
# * calculated total energy: -2.239 eV/atom
# * DOS(E_F): 2.931 states/eV per cell
data_TmMg2Cd
_chemical_formula_sum 'Tm1 Mg2 Cd1'
_space_group_name_H-M_alt 'P 4/m m m'
_space_group_IT_number 123
_space_group_name_Hall '-P 4 2'
_cell_length_a 3.3738
_cell_length_b 3.3738
_cell_length_c 8.4291
_cell_angle_alpha 90.00
_cell_angle_beta 90.00
_cell_angle_gamma 90.00
loop_
_atom_site_label
_atom_site_fract_x
_atom_site_fract_y
_atom_site_fract_z
Tm1 0.0000 0.0000 0.0000
Mg1 0.5000 0.5000 0.2762
Cd1 0.0000 0.0000 0.5000

# Tm6MgCd | Alexandria via LeMat-Bulk | GGA-PBE | optimized geometry
# * energy relative to the lowest polymorph listed for this composition: 0 meV/atom
# * energy of formation: -86 meV per atom
# * V: 224 Å³/f.u.
# * magnetic moment: 0.0 μB per formula unit
# * calculated total energy: -3.753 eV/atom
# * DOS(E_F): 16.191 states/eV per cell
data_Tm6MgCd
_chemical_formula_sum 'Tm12 Mg2 Cd2'
_space_group_name_H-M_alt 'I 4/m m m'
_space_group_IT_number 139
_space_group_name_Hall '-I 4 2'
_cell_length_a 4.9577
_cell_length_b 4.9577
_cell_length_c 18.2636
_cell_angle_alpha 90.00
_cell_angle_beta 90.00
_cell_angle_gamma 90.00
loop_
_atom_site_label
_atom_site_fract_x
_atom_site_fract_y
_atom_site_fract_z
Tm1 0.0000 0.0000 0.2491
Tm2 0.0000 0.5000 0.1177
Mg1 0.0000 0.0000 0.0000
Cd1 0.0000 0.0000 0.5000